1.
A plane-wave DFT calculation with PBE was carried out for a relaxed structure of LaCdMo2.

Properties
theoretical density: 7.93 g/cm³
E_tot: -25.712 eV for the cell shown
formation energy: 448 meV per atom
spin magnetization: 0.00 μB/cell

a b c (Å): 4.463 4.463 7.106
angles (deg): 83.35 83.35 41.39
Element x y z (fractional)
Mo: 0.987 0.987 0.070
La: 0.751 0.751 0.784
Cd: 0.510 0.510 0.442
Mo: 0.252 0.252 0.204

=====

2.
A plane-wave DFT calculation with PBE was carried out for a relaxed structure of La2CdMo.

Properties
theoretical density: 7.29 g/cm³
E_tot: -20.296 eV for the cell shown
formation energy: 326 meV per atom
spin magnetization: 0.00 μB/cell

a b c (Å): 3.827 3.827 7.565
angles (deg): 90.00 90.00 90.00
Element x y z (fractional)
La: 0.500 0.500 0.303
Cd: 0.500 0.500 0.706
Mo: 0.000 0.000 0.564
La: 0.000 0.000 0.927

=====

3.
A plane-wave DFT calculation with PBE was carried out for a relaxed structure of LaCdMo3.

Properties
theoretical density: 7.18 g/cm³
E_tot: -28.469 eV for the cell shown
formation energy: 1973 meV per atom
energy above the most stable polymorph in this dataset: 0.0000 eV per atom
spin magnetization: 0.00 μB/cell

a b c (Å): 4.996 4.996 4.996
angles (deg): 90.00 90.00 90.00
Element x y z (fractional)
Cd: 0.000 0.000 0.000
Mo: 0.000 0.000 0.500
Mo: 0.500 0.000 0.000
La: 0.500 0.500 0.500
Mo: 0.000 0.500 0.000

=====

4.
A plane-wave DFT calculation with PBE was carried out for a relaxed structure of LaCd2Mo4.

Properties
theoretical density: 7.83 g/cm³
E_tot: -36.510 eV for the cell shown
formation energy: 1939 meV per atom
spin magnetization: 1.69 μB/cell

a b c (Å): 4.750 4.750 7.790
angles (deg): 72.25 72.25 90.00
Element x y z (fractional)
La: 0.000 0.000 0.000
Cd: 0.367 0.367 0.266
Mo: 0.169 0.169 0.662
Mo: 0.000 0.500 0.000
Cd: 0.633 0.633 0.734
Mo: 0.500 0.000 0.000
Mo: 0.831 0.831 0.338

=====

5.
A plane-wave DFT calculation with PBE was carried out for a relaxed structure of LaCdMo3.

Properties
theoretical density: 7.97 g/cm³
E_tot: -27.780 eV for the cell shown
formation energy: 2111 meV per atom
energy above the most stable polymorph in this dataset: 0.1378 eV per atom
spin magnetization: 1.02 μB/cell

a b c (Å): 4.826 4.826 4.826
angles (deg): 90.00 90.00 90.00
Element x y z (fractional)
Mo: 0.000 0.000 0.500
Cd: 0.500 0.500 0.500
Mo: 0.500 0.000 0.000
La: 0.000 0.000 0.000
Mo: 0.000 0.500 0.000

=====

6.
A plane-wave DFT calculation with PBE was carried out for a relaxed structure of LaCdMo.

Properties
theoretical density: 6.81 g/cm³
E_tot: -14.460 eV for the cell shown
formation energy: 738 meV per atom
energy above the most stable polymorph in this dataset: 0.3154 eV per atom
spin magnetization: 2.90 μB/cell

a b c (Å): 4.929 4.929 4.929
angles (deg): 60.00 60.00 60.00
Element x y z (fractional)
La: 0.500 0.500 0.500
Cd: 0.000 0.000 0.000
Mo: 0.250 0.250 0.250

=====

7.
A plane-wave DFT calculation with PBE was carried out for a relaxed structure of LaCd2Mo.

Properties
theoretical density: 8.15 g/cm³
E_tot: -15.955 eV for the cell shown
formation energy: 408 meV per atom
energy above the most stable polymorph in this dataset: 0.1673 eV per atom
spin magnetization: 1.38 μB/cell

a b c (Å): 5.546 5.546 5.546
angles (deg): 131.54 131.54 70.96
Element x y z (fractional)
La: 0.500 0.500 0.000
Cd: 0.250 0.750 0.500
Cd: 0.000 0.000 0.000
Mo: 0.750 0.250 0.500

=====

8.
A plane-wave DFT calculation with PBE was carried out for a relaxed structure of La2CdMo.

Properties
theoretical density: 7.17 g/cm³
E_tot: -20.259 eV for the cell shown
formation energy: 336 meV per atom
spin magnetization: 0.00 μB/cell

a b c (Å): 10.041 10.041 10.041
angles (deg): 20.88 20.88 20.88
Element x y z (fractional)
La: 0.489 0.489 0.489
Cd: 0.250 0.250 0.250
La: 0.011 0.011 0.011
Mo: 0.750 0.750 0.750

=====

9.
A plane-wave DFT calculation with PBE was carried out for a relaxed structure of LaCd2Mo.

Properties
theoretical density: 8.68 g/cm³
E_tot: -16.509 eV for the cell shown
formation energy: 270 meV per atom
energy above the most stable polymorph in this dataset: 0.0289 eV per atom
spin magnetization: 0.00 μB/cell

a b c (Å): 3.038 4.895 5.910
angles (deg): 90.00 90.00 90.00
Element x y z (fractional)
La: 0.500 0.500 0.250
Cd: 0.000 0.000 0.979
Cd: 0.000 0.000 0.521
Mo: 0.500 0.500 0.750

=====

10.
A plane-wave DFT calculation with PBE was carried out for a relaxed structure of LaCdMo2.

Properties
theoretical density: 9.06 g/cm³
E_tot: -24.587 eV for the cell shown
formation energy: 729 meV per atom
spin magnetization: 0.00 μB/cell

a b c (Å): 5.670 5.670 2.758
angles (deg): 90.00 90.00 113.69
Element x y z (fractional)
Cd: 0.500 0.000 0.500
Mo: 0.000 0.000 0.000
Mo: 0.500 0.500 0.000
La: 0.000 0.500 0.500

=====

11.
A plane-wave DFT calculation with PBE was carried out for a relaxed structure of LaCd4Mo.

Properties
theoretical density: 8.24 g/cm³
E_tot: -18.400 eV for the cell shown
formation energy: 170 meV per atom
spin magnetization: 2.94 μB/cell

a b c (Å): 5.800 5.800 5.800
angles (deg): 60.00 60.00 60.00
Element x y z (fractional)
Cd: 0.374 0.374 0.878
Mo: 0.000 0.000 0.000
Cd: 0.374 0.374 0.374
Cd: 0.878 0.374 0.374
Cd: 0.374 0.878 0.374
La: 0.750 0.750 0.750

=====

12.
A plane-wave DFT calculation with PBE was carried out for a relaxed structure of La2CdMo.

Properties
theoretical density: 7.03 g/cm³
E_tot: -20.064 eV for the cell shown
formation energy: 384 meV per atom
spin magnetization: 0.00 μB/cell

a b c (Å): 4.404 4.404 8.666
angles (deg): 84.35 84.35 43.38
Element x y z (fractional)
Cd: 0.750 0.750 0.750
La: 0.501 0.501 0.459
La: 0.999 0.999 0.041
Mo: 0.250 0.250 0.250

=====

13.
A plane-wave DFT calculation with PBE was carried out for a relaxed structure of La2CdMo.

Properties
theoretical density: 7.40 g/cm³
E_tot: -39.814 eV for the cell shown
formation energy: 424 meV per atom
spin magnetization: 0.00 μB/cell

a b c (Å): 8.343 8.343 6.681
angles (deg): 51.36 51.36 90.00
Element x y z (fractional)
Cd: 0.750 0.250 0.500
La: 0.875 0.816 0.750
Mo: 0.250 0.750 0.500
La: 0.375 0.434 0.750
La: 0.184 0.625 0.250
La: 0.566 0.125 0.250
Mo: 0.500 0.500 0.000
Cd: 0.000 0.000 0.000

=====

14.
A plane-wave DFT calculation with PBE was carried out for a relaxed structure of LaCd2Mo.

Properties
theoretical density: 8.56 g/cm³
E_tot: -16.363 eV for the cell shown
formation energy: 306 meV per atom
energy above the most stable polymorph in this dataset: 0.0653 eV per atom
spin magnetization: 0.00 μB/cell

a b c (Å): 3.021 3.021 9.766
angles (deg): 90.00 90.00 90.00
Element x y z (fractional)
Cd: 0.000 0.000 0.987
Cd: 0.500 0.500 0.228
La: 0.000 0.000 0.513
Mo: 0.500 0.500 0.772

=====

15.
A plane-wave DFT calculation with PBE was carried out for a relaxed structure of LaCd2Mo.

Properties
theoretical density: 8.54 g/cm³
E_tot: -16.180 eV for the cell shown
formation energy: 352 meV per atom
energy above the most stable polymorph in this dataset: 0.1111 eV per atom
spin magnetization: 0.45 μB/cell

a b c (Å): 5.617 5.617 3.170
angles (deg): 90.05 90.05 116.69
Element x y z (fractional)
La: 0.500 0.000 0.500
Mo: 0.000 0.500 0.500
Cd: 0.500 0.500 0.000
Cd: 0.000 0.000 0.000

=====

16.
A plane-wave DFT calculation with PBE was carried out for a relaxed structure of LaCd2Mo.

Properties
theoretical density: 8.63 g/cm³
E_tot: -15.973 eV for the cell shown
formation energy: 404 meV per atom
energy above the most stable polymorph in this dataset: 0.1628 eV per atom
spin magnetization: 0.71 μB/cell

a b c (Å): 10.995 10.995 10.995
angles (deg): 16.04 16.04 16.04
Element x y z (fractional)
Mo: 0.750 0.750 0.750
Cd: 0.490 0.490 0.490
Cd: 0.010 0.010 0.010
La: 0.250 0.250 0.250

=====

17.
A plane-wave DFT calculation with PBE was carried out for a relaxed structure of LaCdMo.

Properties
theoretical density: 6.30 g/cm³
E_tot: -13.098 eV for the cell shown
formation energy: 1192 meV per atom
energy above the most stable polymorph in this dataset: 0.7696 eV per atom
spin magnetization: 3.08 μB/cell

a b c (Å): 5.059 5.059 5.059
angles (deg): 60.00 60.00 60.00
Element x y z (fractional)
La: 0.750 0.750 0.750
Cd: 0.500 0.500 0.500
Mo: 0.000 0.000 0.000

=====

18.
A plane-wave DFT calculation with PBE was carried out for a relaxed structure of LaCdMo.

Properties
theoretical density: 8.33 g/cm³
E_tot: -15.195 eV for the cell shown
formation energy: 493 meV per atom
energy above the most stable polymorph in this dataset: 0.0706 eV per atom
spin magnetization: 0.02 μB/cell

a b c (Å): 5.222 5.222 2.932
angles (deg): 90.00 90.00 120.00
Element x y z (fractional)
La: 0.333 0.667 0.334
Mo: 0.667 0.333 0.828
Cd: 0.000 0.000 0.838

=====

19.
A plane-wave DFT calculation with PBE was carried out for a relaxed structure of La2CdMo.

Properties
theoretical density: 7.98 g/cm³
E_tot: -20.352 eV for the cell shown
formation energy: 312 meV per atom
spin magnetization: 0.03 μB/cell

a b c (Å): 5.725 5.725 5.725
angles (deg): 132.14 132.14 70.01
Element x y z (fractional)
Cd: 0.750 0.250 0.500
Mo: 0.500 0.500 0.000
La: 0.000 0.000 0.000
La: 0.250 0.750 0.500

=====

20.
A plane-wave DFT calculation with PBE was carried out for a relaxed structure of LaCd2Mo.

Properties
theoretical density: 7.77 g/cm³
E_tot: -30.497 eV for the cell shown
formation energy: 585 meV per atom
energy above the most stable polymorph in this dataset: 0.3440 eV per atom
spin magnetization: 0.03 μB/cell

a b c (Å): 4.209 4.209 11.483
angles (deg): 79.44 79.44 90.00
Element x y z (fractional)
Mo: 0.250 0.750 0.500
La: 0.000 0.000 0.000
Mo: 0.500 0.500 0.000
Cd: 0.161 0.625 0.250
La: 0.750 0.250 0.500
Cd: 0.375 0.411 0.750
Cd: 0.875 0.839 0.750
Cd: 0.589 0.125 0.250